1.
Here is CaLaCu after structural relaxation from Alexandria. Energies are from GGA-PBE.

**Space group**: F-43m (216)
**DOS(E_F)**: 1.5324 states/eV/atom
**Calculated volume**: 30.486 Å³/atom
**Total magnetization**: 0.000 Bohr magnetons per cell

abc: 5.0572 5.0572 5.0572
angles: 60.00 60.00 60.00
Last column: nearest neighbours and their distance in Å.
Fractional coordinates of all 3 atoms:
Cu  0.7500  0.7500  0.7500  4 La 3.10, 4 Ca 3.10
Ca  0.5000  0.5000  0.5000  4 Cu 3.10
La  0.0000  0.0000  0.0000  4 Cu 3.10



2.
Here is Ca3LaCu after structural relaxation from Alexandria. Energies are from GGA-PBE.

**Space group**: Pm-3m (221)
**DOS(E_F)**: 1.2819 states/eV/atom
**Calculated volume**: 38.316 Å³/atom
**Total magnetization**: 0.711 Bohr magnetons per cell

abc: 5.7648 5.7648 5.7648
angles: 90.00 90.00 90.00
Last column: nearest neighbours and their distance in Å.
Fractional coordinates of all 5 atoms:
Ca  0.0000  0.0000  0.5000  2 La 2.88
Ca  0.5000  0.0000  0.0000  2 La 2.88
La  0.0000  0.0000  0.0000  6 Ca 2.88
Ca  0.0000  0.5000  0.0000  2 La 2.88
Cu  0.5000  0.5000  0.5000  12 Ca 4.08



| no. | DFT formation energy (kJ/mol of atoms) | total DFT energy (no corrections) (eV per cell) | relative energy among the computed polymorphs (meV/atom) |
| --- | --- | --- | --- |
| 1 | 4.9 | -10.874 | 155 |
| 2 | 117.7 | -8.927 | 1112 |